i.
# DyTmPu

A relaxed DyTmPu crystal (GGA-PBE, the Alexandria database).

Lattice parameters (Å, degrees): 7.750 7.750 7.750 154.09 154.09 36.97
Atoms (fractional coordinates):
Dy1 0.000 0.000 0.000
Tm1 0.671 0.671 0.000
Pu1 0.335 0.335 0.000

SG: I4mm, No. 107
DOS(E_F) (states/eV/cell): 7.3

---

ii.
# DyTmPu

A relaxed DyTmPu crystal (GGA-PBE, the Alexandria database).

Lattice parameters (Å, degrees): 5.571 5.571 3.268 90.00 90.00 120.00
Atoms (fractional coordinates):
Dy1 0.000 0.000 0.000
Tm1 0.333 0.667 0.000
Pu1 0.667 0.333 0.500

SG: P-6m2, No. 187
DOS(E_F) (states/eV/cell): 7.6

---

Of them, the most stable is i and the least stable is ii.